Here is a geometry-optimized SmAgPt structure from the Open Quantum Materials Database. Energies are from PBE.

Summary:
E above lowest polymorph: 0.376 eV/atom
formation enthalpy at 0 K: -0.26 eV/atom
magnetization: 0.00 μB per atom

Unit cell a=6.7550 b=6.7550 c=6.7550 alpha=90.00 beta=90.00 gamma=90.00
Space group F-43m (No. 216)
Symmetry-distinct sites (fractional):
Sm 0.0000 0.0000 0.0000
Ag 0.2500 0.2500 0.7500
Pt 0.2500 0.2500 0.2500



Here is a geometry-optimized YScSiNi structure from the Open Quantum Materials Database. Energies are from PBE.

Summary:
raw total energy: -6.034 eV per atom
magnetization: 0.34 μB per atom

Unit cell a=6.5754 b=6.5754 c=6.5754 alpha=90.00 beta=90.00 gamma=90.00
Space group F-43m (No. 216)
Symmetry-distinct sites (fractional):
Y 0.0000 0.0000 0.0000
Sc 0.2500 0.2500 0.2500
Si 0.0000 0.0000 0.5000
Ni 0.2500 0.2500 0.7500